First-principles (PBE) data for a relaxed Rb2TcI4Br2 crystal, as listed in Alexandria via LeMat-Bulk.

## Properties
The total energy is -3.266 eV/atom. As for the formation energy from raw total energies: -0.838 eV/atom.

abc: 7.9673 7.9673 8.2132
angles: 120.88 120.88 60.97
With the nearest neighbours (Å) after each atom.
Fractional coordinates of all 9 atoms:
Rb 0.2483 0.2483 0.2710  1 Br 3.61, 4 I 3.92-3.95
Rb 0.7517 0.7517 0.7290  1 Br 3.61, 4 I 3.92-3.95
Tc 0.0000 0.0000 0.5000  2 Br 2.54, 4 I 2.76
I 0.2189 0.7376 0.2416  1 Tc 2.76
I 0.2624 0.7811 0.7584  1 Tc 2.76
I 0.7376 0.2189 0.2416  1 Tc 2.76
I 0.7811 0.2624 0.7584  1 Tc 2.76
Br 0.2282 0.2282 0.6892  1 Tc 2.54
Br 0.7718 0.7718 0.3108  1 Tc 2.54

***

First-principles (PBE) data for a relaxed RbTe2IBr crystal, as listed in Alexandria via LeMat-Bulk.

## Properties
The calculation puts the energy above the most stable polymorph in this dataset at 611 meV/atom. The total energy is -1.553 eV/atom. As for the density of states at the Fermi level: 10.50 states/eV/cell. As for the formation energy from raw total energies: 0.542 eV/atom.

abc: 7.2439 7.2439 6.7238
angles: 90.00 90.00 90.00
With the nearest neighbours (Å) after each atom.
Fractional coordinates of all 5 atoms:
Rb 0.0000 0.0000 0.0000  2 I 3.36, 4 Te 3.62
Te 0.0000 0.5000 0.0000  2 Rb 3.62
Te 0.5000 0.0000 0.0000  2 Rb 3.62
I 0.0000 0.0000 0.5000  2 Rb 3.36
Br 0.5000 0.5000 0.5000  8 Te 4.94, 4 I 5.12

***

First-principles (PBE) data for a relaxed Rb2TeIBr crystal, as listed in Alexandria via LeMat-Bulk.

## Properties
The calculation puts the energy above the most stable polymorph in this dataset at 0 meV/atom. The total energy is -2.536 eV/atom. As for the density of states at the Fermi level: 2.58 states/eV/cell. As for the formation energy from raw total energies: -0.876 eV/atom.

abc: 7.0346 7.0346 5.8522
angles: 90.00 90.00 90.00
With the nearest neighbours (Å) after each atom.
Fractional coordinates of all 5 atoms:
Rb 0.0000 0.5000 0.0000  2 Te 3.52
Rb 0.5000 0.0000 0.0000  2 Te 3.52
Te 0.0000 0.0000 0.0000  2 I 2.93
I 0.0000 0.0000 0.5000  2 Te 2.93
Br 0.5000 0.5000 0.5000  8 Rb 4.58, 4 I 4.97

***

First-principles (PBE) data for a relaxed Rb2TeI2Br4 crystal, as listed in Alexandria via LeMat-Bulk.

## Properties
The total energy is -2.589 eV/atom. As for the density of states at the Fermi level: 0.00 states/eV/cell. As for the formation energy from raw total energies: -0.937 eV/atom.

abc: 8.0510 8.0510 8.0510
angles: 120.15 120.15 89.73
With the nearest neighbours (Å) after each atom.
Fractional coordinates of all 9 atoms:
Rb 0.2500 0.7500 0.5000  4 I 4.02, 8 Br 4.03
Rb 0.7500 0.2500 0.5000  4 I 4.02, 8 Br 4.03
Te 0.0000 0.0000 0.0000  4 Br 2.74, 2 I 2.96
I 0.2591 0.2591 0.0000  1 Te 2.96
I 0.7409 0.7409 0.0000  1 Te 2.96
Br 0.2409 0.2409 0.4818  1 Te 2.74
Br 0.2409 0.7591 0.0000  1 Te 2.74
Br 0.7591 0.2409 0.0000  1 Te 2.74
Br 0.7591 0.7591 0.5182  1 Te 2.74

***

What did we get for M_tot? Answer: 3.0; 5.0; 0.0; 0.0 μB per cell, in the order shown.